Entry 1:
Computed, not measured: Li2AuBr4 after structural relaxation at the PBE level of DFT.

- Total DFT energy (no corrections): -2.80 eV per atom
- E above lowest polymorph: 0 meV per atom
- Spin magnetization: 0.121 μB per atom
- ΔE_f (raw): -0.825 eV per atom
- Fermi-level density of states: 3.0 states/eV/f.u.

a b c (Å): 6.742 6.742 8.379
angles (deg): 90.00 90.00 90.00
Space group I-42m (No. 121)
One atom of each set of equivalent atoms:
Li  0.000  0.500  0.250
Au  0.000  0.000  0.000
Br  0.245  0.245  0.607

***

Entry 2:
Computed, not measured: LiAu3Br after structural relaxation at the PBE level of DFT.

- Total DFT energy (no corrections): -2.25 eV per atom
- E above lowest polymorph: 0 meV per atom
- Spin magnetization: 0.000 μB per atom
- ΔE_f (raw): 0.433 eV per atom
- Fermi-level density of states: 3.8 states/eV/f.u.

a b c (Å): 4.673 4.673 4.673
angles (deg): 90.00 90.00 90.00
Space group Pm-3m (No. 221)
One atom of each set of equivalent atoms:
Li  0.000  0.000  0.000
Au  0.000  0.000  0.500
Br  0.500  0.500  0.500

***

Entry 3:
Computed, not measured: LiAu4Br after structural relaxation at the PBE level of DFT.

- Total DFT energy (no corrections): -2.95 eV per atom
- Spin magnetization: 0.000 μB per atom
- ΔE_f (raw): -0.165 eV per atom
- Fermi-level density of states: 0.2 states/eV/f.u.

a b c (Å): 7.936 7.936 7.936
angles (deg): 90.00 90.00 90.00
Space group F-43m (No. 216)
One atom of each set of equivalent atoms:
Li  0.000  0.000  0.000
Au  0.125  0.125  0.625
Br  0.250  0.250  0.250

***

Entry 4:
Computed, not measured: Li2AuBr after structural relaxation at the PBE level of DFT.

- Total DFT energy (no corrections): -3.06 eV per atom
- E above lowest polymorph: 0 meV per atom
- Spin magnetization: 0.000 μB per atom
- ΔE_f (raw): -0.862 eV per atom

a b c (Å): 3.7774 3.7774 19.5510
angles (deg): 90.00 90.00 120.00
Space group R-3m (No. 166, hexagonal axes)
One atom of each set of equivalent atoms:
Li  0.0000  0.0000  0.2472
Au  0.0000  0.0000  0.0000
Br  0.0000  0.0000  0.5000